Material: LuZnFe2
Method: DFT, PBE-GGA
State: relaxed

The structure in POSCAR format:
```
LuZnFe2
1.0
0.000 3.142 3.142
3.142 0.000 3.142
3.142 3.142 0.000
Lu Zn Fe
1 1 2
Direct
0.750 0.750 0.750 Lu
0.500 0.500 0.500 Zn
0.250 0.250 0.250 Fe
0.000 0.000 0.000 Fe
```

Properties
The space-group type is F-43m, No. 216. The value obtained for the calculated total energy is -5.516 eV/atom. The total magnetization comes out at 4.2 μB per cell.

Material: LiLa2OsN6
Method: DFT, PBE-GGA
State: relaxed

The structure in POSCAR format:
```
LiLa2OsN6
1.0
-2.152 3.963 -3.222
-3.989 1.047 3.952
6.832 1.373 6.533
Os N La Li
2 12 4 2
Direct
0.500 0.000 0.500 Os
0.500 0.500 0.000 Os
0.676 0.010 0.744 N
0.735 0.721 0.534 N
0.735 0.779 0.034 N
0.265 0.221 0.966 N
0.818 0.299 0.035 N
0.676 0.490 0.244 N
0.182 0.799 0.465 N
0.182 0.701 0.965 N
0.265 0.279 0.466 N
0.324 0.990 0.256 N
0.324 0.510 0.756 N
0.818 0.201 0.535 N
0.237 0.553 0.248 La
0.763 0.053 0.252 La
0.763 0.447 0.752 La
0.237 0.947 0.748 La
0.000 0.500 0.500 Li
0.000 0.000 0.000 Li
```

Properties
The space-group type is P2_1/c, No. 14. The value obtained for the calculated total energy is -7.346 eV/atom. The total magnetization comes out at 4.7 μB per cell.

Material: Ni3AgAs5
Method: DFT, PBE-GGA
State: relaxed

The structure in POSCAR format:
```
Ni3AgAs5
1.0
4.953 0.000 0.000
-2.476 4.289 0.000
0.000 0.000 7.310
As Ni Ag
5 3 1
Direct
0.333 0.667 0.222 As
0.333 0.667 0.778 As
0.000 0.000 0.500 As
0.667 0.333 0.222 As
0.667 0.333 0.778 As
0.500 0.000 0.500 Ni
0.000 0.500 0.500 Ni
0.500 0.500 0.500 Ni
0.000 0.000 0.000 Ag
```

Properties
The space-group type is P6/mmm, No. 191. The value obtained for the calculated total energy is -4.746 eV/atom. The total magnetization comes out at 0.0 μB per cell.

Material: TePtPbO
Method: DFT, PBE-GGA
State: relaxed

The structure in POSCAR format:
```
TePtPbO
1.0
-4.281 0.835 -0.481
-0.904 -4.238 0.689
-0.673 1.557 8.696
Te Pt O Pb
2 2 2 2
Direct
0.250 0.250 0.316 Te
0.750 0.750 0.684 Te
0.250 0.250 0.766 Pt
0.750 0.750 0.234 Pt
0.750 0.750 0.471 O
0.250 0.250 0.529 O
0.250 0.750 0.000 Pb
0.750 0.250 0.000 Pb
```

Properties
The space-group type is P4/nmm, No. 129. The calculation puts the energy above the most stable polymorph in this dataset at 0.621 eV/atom. The total magnetization comes out at 0.0 μB per cell.

Material: HfZrGa2Au2
Method: DFT, PBE-GGA
State: relaxed

The structure in POSCAR format:
```
HfZrGa2Au2
1.0
-3.988 -0.491 -1.704
1.084 -2.114 3.661
-2.219 5.241 3.684
Zr Ga Hf Au
1 2 1 2
Direct
0.000 0.000 0.500 Zr
0.667 0.333 0.285 Ga
0.667 0.333 0.715 Ga
0.000 0.000 0.000 Hf
0.333 0.667 0.210 Au
0.333 0.667 0.790 Au
```

Properties
The space-group type is P-6m2, No. 187. The calculation puts the energy above the most stable polymorph in this dataset at 0.000 eV/atom. The total magnetization comes out at 0.0 μB per cell.

Material: K4TlCd2In
Method: DFT, PBE-GGA
State: relaxed

The structure in POSCAR format:
```
K4TlCd2In
1.0
5.757 0.000 0.000
0.000 5.757 0.000
0.000 0.000 8.143
K Tl Cd In
4 1 2 1
Direct
0.000 0.500 0.750 K
0.500 0.500 0.000 K
0.000 0.000 0.500 K
0.500 0.000 0.250 K
0.500 0.500 0.500 Tl
0.000 0.500 0.244 Cd
0.500 0.000 0.756 Cd
0.000 0.000 0.000 In
```

Properties
The space-group type is P-4m2, No. 115. The value obtained for the calculated total energy is -1.426 eV/atom.

Material: LaTlFe2
Method: DFT, PBE-GGA
State: relaxed

The structure in POSCAR format:
```
LaTlFe2
1.0
-3.126 -3.206 -2.072
-4.333 1.568 -1.762
-0.786 0.117 -4.869
Fe La Tl
2 1 1
Direct
0.000 0.000 0.000 Fe
0.750 0.750 0.750 Fe
0.250 0.250 0.250 La
0.500 0.500 0.500 Tl
```

Properties
The space-group type is F-43m, No. 216. The value obtained for the calculated total energy is -5.517 eV/atom. The total magnetization comes out at 5.6 μB per cell.

Material: HfCuSiNi
Method: DFT, PBE-GGA
State: relaxed

The structure in POSCAR format:
```
HfCuSiNi
1.0
0.000 3.048 3.048
3.048 0.000 3.048
3.048 3.048 0.000
Hf Si Ni Cu
1 1 1 1
Direct
0.250 0.250 0.250 Hf
0.000 0.000 0.000 Si
0.750 0.750 0.750 Ni
0.500 0.500 0.500 Cu
```

Properties
The space-group type is F-43m, No. 216. The calculation puts the energy above the most stable polymorph in this dataset at 0.124 eV/atom. The total magnetization comes out at 0.0 μB per cell.

Material: Nd2Ni7
Method: DFT, PBE-GGA
State: relaxed

The structure in POSCAR format:
```
Nd2Ni7
1.0
5.002 0.000 0.000
-2.501 4.332 0.000
0.000 0.000 24.363
Ni Nd
28 8
Direct
0.333 0.166 0.413 Ni
0.166 0.834 0.587 Ni
0.667 0.333 0.332 Ni
0.000 0.000 0.000 Ni
0.834 0.667 0.413 Ni
0.333 0.166 0.087 Ni
0.000 0.000 0.668 Ni
0.167 0.833 0.750 Ni
0.333 0.667 0.832 Ni
0.333 0.667 0.668 Ni
0.000 0.000 0.332 Ni
0.667 0.834 0.913 Ni
0.166 0.834 0.913 Ni
0.000 0.000 0.500 Ni
0.000 0.000 0.168 Ni
0.834 0.166 0.087 Ni
0.833 0.167 0.250 Ni
0.166 0.333 0.587 Ni
0.666 0.833 0.750 Ni
0.166 0.333 0.913 Ni
0.834 0.166 0.413 Ni
0.334 0.167 0.250 Ni
0.167 0.334 0.750 Ni
0.834 0.667 0.087 Ni
0.667 0.834 0.587 Ni
0.833 0.666 0.250 Ni
0.667 0.333 0.168 Ni
0.000 0.000 0.832 Ni
0.667 0.333 0.530 Nd
0.333 0.667 0.470 Nd
0.333 0.667 0.174 Nd
0.333 0.667 0.326 Nd
0.667 0.333 0.970 Nd
0.667 0.333 0.826 Nd
0.333 0.667 0.030 Nd
0.667 0.333 0.674 Nd
```

Properties
The space-group type is P6_3/mmc, No. 194. The calculation puts the energy above the most stable polymorph in this dataset at 0.000 eV/atom. The total magnetization comes out at 4.4 μB per cell.

Material: CoBr7
Method: DFT, PBE-GGA
State: relaxed

The structure in POSCAR format:
```
CoBr7
1.0
10.282 0.000 0.000
0.000 7.622 3.892
0.000 -7.622 3.892
Br Co
14 2
Direct
0.877 0.986 0.457 Br
0.804 0.597 0.878 Br
0.000 0.835 0.835 Br
0.355 0.812 0.967 Br
0.855 0.467 0.312 Br
0.145 0.312 0.467 Br
0.623 0.486 0.957 Br
0.123 0.457 0.986 Br
0.377 0.957 0.486 Br
0.304 0.378 0.097 Br
0.645 0.967 0.812 Br
0.696 0.097 0.378 Br
0.196 0.878 0.597 Br
0.500 0.335 0.335 Br
0.000 0.539 0.539 Co
0.500 0.039 0.039 Co
```

Properties
The space-group type is Aea2, No. 41. The value obtained for the calculated total energy is -2.361 eV/atom. The total magnetization comes out at 8.0 μB per cell.

Material: ErNbSn
Method: DFT, PBE-GGA
State: relaxed

The structure in POSCAR format:
```
ErNbSn
1.0
-1.406 -2.704 3.733
1.462 1.100 4.458
-3.143 1.759 3.201
Sn Er Nb
1 1 1
Direct
0.000 0.000 0.000 Sn
0.250 0.250 0.250 Er
0.750 0.750 0.750 Nb
```

Properties
The space-group type is F-43m, No. 216. The value obtained for the calculated total energy is -6.036 eV/atom. The total magnetization comes out at 1.2 μB per cell.

Material: SmInCu
Method: DFT, PBE-GGA
State: relaxed

The structure in POSCAR format:
```
SmInCu
1.0
8.464 0.000 0.000
-4.232 7.330 0.000
0.000 0.000 3.295
Cu Sm In
3 3 3
Direct
0.361 0.361 0.500 Cu
0.000 0.639 0.500 Cu
0.639 0.000 0.500 Cu
0.000 0.302 0.000 Sm
0.698 0.698 0.000 Sm
0.302 0.000 0.000 Sm
0.667 0.333 0.000 In
0.000 0.000 0.500 In
0.333 0.667 0.000 In
```

Properties
The space-group type is P-62m, No. 189. The value obtained for the calculated total energy is -3.691 eV/atom. The total magnetization comes out at 0.2 μB per cell.